PrMg3Hg4 after structural relaxation, computed with GGA-PBE.

```
data_PrMg3Hg4
_cell_length_a 9.889
_cell_length_b 7.611
_cell_length_c 4.945
_cell_angle_alpha 90.00
_cell_angle_beta 90.00
_cell_angle_gamma 90.00
_symmetry_space_group_name_H-M 'P m m a'
_symmetry_Int_Tables_number 51
_symmetry_space_group_name_Hall '-P 2a 2a'
loop_
_atom_site_label
_atom_site_fract_x
_atom_site_fract_y
_atom_site_fract_z
Pr1 0.000 0.000 0.000
Mg1 0.000 0.500 0.000
Mg2 0.250 0.000 0.500
Mg3 0.250 0.500 0.499
Hg1 0.000 0.270 0.500
Hg2 0.250 0.270 0.999
```

Volume (Å³ per atom): 23.259
Density (g/cm3): 9.07
Magnetization (μB/cell): 0.000
N(E_F) (states/eV/atom): 0.45
Energy of formation (kcal/mol of atoms): -7.60